1.
Below is an optimized crystal structure of PtSeI2, with properties calculated at the PBE level.

The value obtained for the formation energy without anion corrections is 1.810 eV per formula unit. Its total energy is -0.199 Ry per atom. The calculation puts the magnetization at 0.00 μB/f.u. For the distance to the lowest polymorph of the same formula, the calculation gives 0 meV/atom.

abc: 7.638 7.638 7.882
angles: 90.00 90.00 90.00
Space group I-42d (No. 122)
Asymmetric unit:
Pt1 0.000 0.000 0.000 (multiplicity 4)
Se1 0.000 0.000 0.500 (multiplicity 4)
I1 0.209 0.250 0.125 (multiplicity 8)


2.
Below is an optimized crystal structure of PtSe2I, with properties calculated at the PBE level.

The value obtained for the formation energy without anion corrections is 3.207 eV per formula unit. Its total energy is -0.209 Ry per atom. The calculation puts the magnetization at 0.00 μB/f.u. For the distance to the lowest polymorph of the same formula, the calculation gives 1003 meV/atom.

abc: 6.976 6.976 6.976
angles: 90.00 90.00 90.00
Space group Fm-3m (No. 225)
Asymmetric unit:
Pt1 0.000 0.000 0.000 (multiplicity 4)
Se1 0.250 0.250 0.250 (multiplicity 8)
I1 0.000 0.000 0.500 (multiplicity 4)


3.
Below is an optimized crystal structure of Pt3SeI, with properties calculated at the PBE level.

The value obtained for the formation energy without anion corrections is 6.558 eV per formula unit. Its total energy is -0.244 Ry per atom. The calculation puts the magnetization at 0.00 μB/f.u. For the distance to the lowest polymorph of the same formula, the calculation gives 580 meV/atom.

abc: 5.004 5.004 5.004
angles: 90.00 90.00 90.00
Space group Pm-3m (No. 221)
Asymmetric unit:
Pt1 0.000 0.000 0.500 (multiplicity 3)
Se1 0.500 0.500 0.500 (multiplicity 1)
I1 0.000 0.000 0.000 (multiplicity 1)


4.
Below is an optimized crystal structure of Pt2SeI4, with properties calculated at the PBE level.

The value obtained for the formation energy without anion corrections is 2.793 eV per formula unit. Its total energy is -0.199 Ry per atom. The calculation puts the magnetization at 0.00 μB/f.u.

abc: 5.493 5.493 16.695
angles: 90.00 90.00 90.00
Space group I4/mmm (No. 139)
Asymmetric unit:
Pt1 0.000 0.000 0.077 (multiplicity 4)
Se1 0.000 0.000 0.500 (multiplicity 2)
I1 0.000 0.000 0.230 (multiplicity 4)
I2 0.000 0.500 0.000 (multiplicity 4)


5.
Below is an optimized crystal structure of PtSeI2, with properties calculated at the PBE level.

The value obtained for the formation energy without anion corrections is 3.284 eV per formula unit. Its total energy is -0.172 Ry per atom. The calculation puts the magnetization at 0.00 μB/f.u. For the distance to the lowest polymorph of the same formula, the calculation gives 368 meV/atom.

abc: 7.259 7.259 7.259
angles: 90.00 90.00 90.00
Space group Fm-3m (No. 225)
Asymmetric unit:
Pt1 0.000 0.000 0.000 (multiplicity 4)
Se1 0.000 0.000 0.500 (multiplicity 4)
I1 0.250 0.250 0.250 (multiplicity 8)


6.
Below is an optimized crystal structure of Pt2Se2I, with properties calculated at the PBE level.

The value obtained for the formation energy without anion corrections is -0.509 eV per formula unit. Its total energy is -0.310 Ry per atom. The calculation puts the magnetization at 0.00 μB/f.u.

abc: 3.773 3.773 16.314
angles: 90.00 90.00 90.00
Space group I4/mmm (No. 139)
Asymmetric unit:
Pt1 0.000 0.000 0.168 (multiplicity 4)
Se1 0.000 0.000 0.319 (multiplicity 4)
I1 0.000 0.000 0.000 (multiplicity 2)


7.
Below is an optimized crystal structure of PtSe2I, with properties calculated at the PBE level.

The value obtained for the formation energy without anion corrections is 0.584 eV per formula unit. Its total energy is -0.257 Ry per atom. The calculation puts the magnetization at 0.00 μB/f.u. For the distance to the lowest polymorph of the same formula, the calculation gives 347 meV/atom.

abc: 7.117 7.117 9.026
angles: 90.00 90.00 90.00
Space group I-42d (No. 122)
Asymmetric unit:
Pt1 0.000 0.000 0.000 (multiplicity 4)
Se1 0.169 0.250 0.125 (multiplicity 8)
I1 0.000 0.000 0.500 (multiplicity 4)


8.
Below is an optimized crystal structure of Sm4PtSe2I, with properties calculated at the PBE level.

The value obtained for the formation energy without anion corrections is -11.052 eV per formula unit. Its total energy is -0.409 Ry per atom. The calculation puts the magnetization at 0.00 μB/f.u.

abc: 7.475 4.106 7.528
angles: 90.00 107.82 90.00
Space group P2/m (No. 10)
Asymmetric unit:
Sm1 0.227 0.000 0.221 (multiplicity 2)
Sm2 0.262 0.500 0.779 (multiplicity 2)
Pt1 0.500 0.000 0.000 (multiplicity 1)
Se1 0.000 0.000 0.500 (multiplicity 1)
Se2 0.000 0.500 0.000 (multiplicity 1)
I1 0.500 0.500 0.500 (multiplicity 1)